Entry from the Alexandria database: a relaxed RbBH4 crystal (PBE).

The total moment comes out at 0.00 μB per formula unit. The calculation puts the energy at -3.925 eV/atom.

The structure belongs to space group F-43m (No. 216); the cell edges are 6.961, 6.961 and 6.961 Å and the angles 90.00°, 90.00° and 90.00°. Symmetry generates all atoms from Rb at (0.000, 0.000, 0.000), B at (0.000, 0.000, 0.500) and H at (0.102, 0.102, 0.398).